Record 1
Material: NaMn4O8
Method: DFT, GGA-PBEsol
State: optimized geometry

Geometry as POSCAR:
```
NaMn4O8
1.0
5.6618 0.0001 -0.0001
2.8310 4.9032 -0.0037
2.8309 1.6374 5.7132
Mn O Na
4 8 1
Direct
0.0000 0.0000 0.0000
0.5000 0.5000 0.0000
0.0000 0.5000 0.0000
0.5000 0.0000 0.0000
0.2205 0.2265 0.8266
0.2231 0.7230 0.8308
0.7795 0.7735 0.1734
0.2735 0.7735 0.1735
0.7769 0.2770 0.1692
0.2735 0.2796 0.1735
0.7265 0.7204 0.8265
0.7265 0.2265 0.8265
0.0000 0.5000 0.5000
```

Results
The calculation puts the calculated total energy at -8.046 eV per atom. Its volume is 158.6 Å³ per cell. The raw formation energy is -1705 meV/atom. Its space group is R-3m (166).

---

Record 2
Material: BPdC2
Method: DFT, GGA-PBEsol
State: optimized geometry

Geometry as POSCAR:
```
BPdC2
1.0
4.3096 0.0000 0.0000
0.0000 4.3096 0.0000
-2.1548 -2.1548 3.9555
C B Pd
4 2 2
Direct
0.4558 0.8750 0.2500
0.1250 0.2058 0.7500
0.7942 0.3750 0.2500
0.6250 0.5442 0.7500
0.7500 0.2500 0.5000
0.5000 0.5000 0.0000
0.2500 0.7500 0.5000
0.0000 0.0000 0.0000
```

Results
The calculation puts the calculated total energy at -7.259 eV per atom. Its volume is 73.5 Å³ per cell. Its space group is I-42d (122).

---

Please write out number 2 again, unchanged.
Material: BPdC2
Method: DFT, GGA-PBEsol
State: optimized geometry

Geometry as POSCAR:
```
BPdC2
1.0
4.3096 0.0000 0.0000
0.0000 4.3096 0.0000
-2.1548 -2.1548 3.9555
C B Pd
4 2 2
Direct
0.4558 0.8750 0.2500
0.1250 0.2058 0.7500
0.7942 0.3750 0.2500
0.6250 0.5442 0.7500
0.7500 0.2500 0.5000
0.5000 0.5000 0.0000
0.2500 0.7500 0.5000
0.0000 0.0000 0.0000
```

Results
The calculation puts the calculated total energy at -7.259 eV per atom. Its volume is 73.5 Å³ per cell. Its space group is I-42d (122).

---

Repeat the second record exactly.
Material: BPdC2
Method: DFT, GGA-PBEsol
State: optimized geometry

Geometry as POSCAR:
```
BPdC2
1.0
4.3096 0.0000 0.0000
0.0000 4.3096 0.0000
-2.1548 -2.1548 3.9555
C B Pd
4 2 2
Direct
0.4558 0.8750 0.2500
0.1250 0.2058 0.7500
0.7942 0.3750 0.2500
0.6250 0.5442 0.7500
0.7500 0.2500 0.5000
0.5000 0.5000 0.0000
0.2500 0.7500 0.5000
0.0000 0.0000 0.0000
```

Results
The calculation puts the calculated total energy at -7.259 eV per atom. Its volume is 73.5 Å³ per cell. Its space group is I-42d (122).

---

The highest calculated total energy belongs to which entry? BPdC2